This record from Alexandria via LeMat-Bulk describes RbTcO3 after structural relaxation. The functional is PBE.

Cell lengths 13.4869, 8.3262, 8.3262 Å; angles 102.77, 135.41, 44.59 degrees
With the nearest neighbours (Å) after each atom.
Sites, in units of the cell vectors:
O 0.2715 0.5079 0.2885  1 Tc 1.79
O 0.2285 0.7885 0.0079  1 Tc 1.79
O 0.7285 0.4921 0.7115  1 Tc 1.79
O 0.7715 0.2115 0.9921  1 Tc 1.79
O 0.1232 0.3029 0.1983  1 Tc 1.88
O 0.3768 0.6983 0.8029  1 Tc 1.88
O 0.8768 0.6971 0.8017  1 Tc 1.88
O 0.6232 0.3017 0.1971  1 Tc 1.88
O 0.3060 0.4181 0.6205  2 Tc 1.86-1.99
O 0.1940 0.1205 0.9181  2 Tc 1.86-1.99
O 0.6940 0.5819 0.3795  2 Tc 1.86-1.99
O 0.8060 0.8795 0.0819  2 Tc 1.86-1.99
Tc 0.0842 0.5690 0.2188  4 O 1.79-1.99
Tc 0.4158 0.7188 0.0690  4 O 1.79-1.99
Tc 0.9158 0.4310 0.7812  4 O 1.79-1.99
Tc 0.5842 0.2812 0.9310  4 O 1.79-1.99
Rb 0.7500 0.1300 0.6300  6 O 2.79-2.92
Rb 0.2500 0.8700 0.3700  6 O 2.79-2.92
Rb 0.7500 0.5869 0.0869  6 O 2.90-3.04
Rb 0.2500 0.4131 0.9131  6 O 2.90-3.04

As for the space group: No. 15.

This record from Alexandria via LeMat-Bulk describes Rb2TcO5 after structural relaxation. The functional is PBE.

Cell lengths 6.2567, 6.2567, 6.2567 Å; angles 95.27, 117.01, 117.01 degrees
With the nearest neighbours (Å) after each atom.
Sites, in units of the cell vectors:
Rb 0.5000 0.2638 0.7638  6 O 2.98-3.27
Rb 0.5000 0.7638 0.2638  6 O 2.98-3.27
Tc 0.0000 0.0403 0.0403  5 O 1.75-1.84
O 0.6199 0.7867 0.7867  1 Tc 1.84
O 0.0000 0.7867 0.1668  1 Tc 1.84
O 0.0000 0.1668 0.7867  1 Tc 1.84
O 0.3801 0.1668 0.1668  1 Tc 1.84
O 0.0000 0.2472 0.2472  1 Tc 1.75

As for the space group: No. 107.

This record from Alexandria via LeMat-Bulk describes RbTcO3 after structural relaxation. The functional is PBE.

Cell lengths 7.6674, 10.4322, 6.3860 Å; angles 90.00, 90.00, 90.00 degrees
With the nearest neighbours (Å) after each atom.
Sites, in units of the cell vectors:
O 0.1554 0.8946 0.8827  1 Tc 1.74
O 0.3446 0.3946 0.3827  1 Tc 1.74
O 0.3446 0.1054 0.3827  1 Tc 1.74
O 0.8446 0.3946 0.1173  1 Tc 1.74
O 0.8446 0.1054 0.1173  1 Tc 1.74
O 0.6554 0.6054 0.6173  1 Tc 1.74
O 0.6554 0.8946 0.6173  1 Tc 1.74
O 0.1554 0.6054 0.8827  1 Tc 1.74
O 0.4565 0.2500 0.7663  1 Tc 1.74
O 0.0435 0.7500 0.2663  1 Tc 1.74
O 0.5435 0.7500 0.2337  1 Tc 1.74
O 0.9565 0.2500 0.7337  1 Tc 1.74
Tc 0.3968 0.2500 0.5033  3 O 1.74
Tc 0.1032 0.7500 0.0033  3 O 1.74
Tc 0.6032 0.7500 0.4967  3 O 1.74
Tc 0.8968 0.2500 0.9967  3 O 1.74
Rb 0.0000 0.0000 0.5000  6 O 2.93-3.02
Rb 0.5000 0.5000 0.0000  6 O 2.93-3.02
Rb 0.5000 0.0000 0.0000  6 O 2.93-3.02
Rb 0.0000 0.5000 0.5000  6 O 2.93-3.02

As for the space group: No. 62.

This record from Alexandria via LeMat-Bulk describes Rb3TcO6 after structural relaxation. The functional is PBE.

Cell lengths 6.5833, 6.5833, 6.5833 Å; angles 60.00, 60.00, 60.00 degrees
With the nearest neighbours (Å) after each atom.
Sites, in units of the cell vectors:
Rb 0.7500 0.7500 0.7500  12 O 3.32
Rb 0.2500 0.2500 0.2500  12 O 3.32
Rb 0.5000 0.5000 0.5000  6 O 2.77
Tc 0.0000 0.0000 0.0000  6 O 1.88
O 0.7977 0.7977 0.2023  1 Tc 1.88
O 0.2023 0.7977 0.7977  1 Tc 1.88
O 0.2023 0.7977 0.2023  1 Tc 1.88
O 0.7977 0.2023 0.2023  1 Tc 1.88
O 0.7977 0.2023 0.7977  1 Tc 1.88
O 0.2023 0.2023 0.7977  1 Tc 1.88

As for the space group: No. 225.

E_form (uncorrected) in kJ/mol of formula units, matching the order above: -712 -1078 -650 -1156
Theoretical density in Mg/m³, matching the order above: 4.1 3.2 3.0 3.7
Size of the total moment in μB/cell, matching the order above: 0.0 0.9 0.0 2.0